Density functional theory data (meta-GGA SCAN) for a PBEsol-optimized structure of KScAs2.

Output
As for the final energy: -16.282 eV/atom. The size of the total moment is 0.00 μB/cell. For the formation energy, the calculation gives -0.5453 eV per atom. The density of states at the Fermi level comes out at 1.8 states/eV per cell.

a = 3.5435 Å, b = 3.5435 Å, c = 8.9027 Å
α = 90.00°, β = 90.00°, γ = 90.00°
Positions (direct):
1 K 0.0000 0.0000 0.0000
2 Sc 0.5000 0.5000 0.4537
3 As 0.0000 0.0000 0.3600
4 As 0.5000 0.5000 0.7549

Density functional theory data (meta-GGA SCAN) for a PBEsol-optimized structure of KSc3As.

Output
As for the final energy: -14.280 eV/atom. The size of the total moment is 3.64 μB/cell. For the formation energy, the calculation gives -0.0342 eV per atom. The density of states at the Fermi level comes out at 5.0 states/eV per cell.

a = 5.2382 Å, b = 5.2382 Å, c = 5.2382 Å
α = 90.00°, β = 90.00°, γ = 90.00°
Positions (direct):
1 K 0.0000 0.0000 0.0000
2 Sc 0.0000 0.5000 0.5000
3 Sc 0.5000 0.0000 0.5000
4 Sc 0.5000 0.5000 0.0000
5 As 0.5000 0.5000 0.5000

Question: What is the final energy in the first record?
Answer: -16.282 eV/atom

Question: Which value of final energy does entry 2 give?
Answer: -14.280 eV/atom

Repeat the second record exactly.
Density functional theory data (meta-GGA SCAN) for a PBEsol-optimized structure of KSc3As.

Output
As for the final energy: -14.280 eV/atom. The size of the total moment is 3.64 μB/cell. For the formation energy, the calculation gives -0.0342 eV per atom. The density of states at the Fermi level comes out at 5.0 states/eV per cell.

a = 5.2382 Å, b = 5.2382 Å, c = 5.2382 Å
α = 90.00°, β = 90.00°, γ = 90.00°
Positions (direct):
1 K 0.0000 0.0000 0.0000
2 Sc 0.0000 0.5000 0.5000
3 Sc 0.5000 0.0000 0.5000
4 Sc 0.5000 0.5000 0.0000
5 As 0.5000 0.5000 0.5000

Question: final energy of number 1 (KScAs2)?
Answer: -16.282 eV/atom